Entry 1:
{"formula": "TlHF2", "functional": "PBE-GGA", "state": "relaxed", "lattice_angstrom": [[-3.5222, -1.8766, -3.0720], [2.8604, -6.4535, 0.6627], [-4.3302, -1.3263, 5.7750]], "species": ["H", "F", "Tl", "F", "F", "F", "F", "Tl", "Tl", "F", "F", "H", "H", "F", "H", "Tl"], "frac_coords": [[0.5681, 0.4319, 0.1474], [0.5681, 0.8776, 0.5018], [0.5690, 0.2814, 0.6080], [0.5681, 0.3776, 0.9982], [0.0681, 0.6224, 0.0018], [0.0681, 0.1224, 0.4982], [0.0678, 0.0164, 0.7948], [0.0690, 0.7186, 0.3920], [0.0690, 0.2186, 0.1080], [0.5678, 0.9836, 0.2052], [0.0678, 0.5164, 0.7052], [0.5681, 0.9319, 0.3526], [0.0681, 0.0681, 0.6474], [0.5678, 0.4836, 0.2948], [0.0681, 0.5681, 0.8526], [0.5690, 0.7814, 0.8920]], "sg": "Pna2_1, No. 33", "de_polymorph_ev_per_atom": 0.0290, "magmom_total_mub_per_cell": 0.00}


Entry 2:
{"formula": "LaCdSbI2", "functional": "PBE-GGA", "state": "relaxed", "lattice_angstrom": [[-3.2102, 2.2872, -4.9004], [-5.1943, -2.8898, 2.0540], [-1.5582, 5.2769, 3.4837]], "species": ["Cd", "La", "I", "Sb", "I"], "frac_coords": [[0.5000, 0.5000, 0.5000], [0.0000, 0.0000, 0.0000], [0.5000, 0.0000, 0.0000], [0.0000, 0.0000, 0.5000], [0.0000, 0.5000, 0.0000]], "sg": "P4/mmm, No. 123", "de_polymorph_ev_per_atom": 0.0000, "magmom_total_mub_per_cell": 1.86, "e_form_raw_mev_per_atom": -416}


- What is the formula in the first record?
  TlHF2


- Number 2 is which compound?
  LaCdSbI2


- Which formula does entry 1 have?
  TlHF2


- Number 2 is which compound?
  LaCdSbI2